1.
# Sr2Au2Cl

Crystalline Sr2Au2Cl at its relaxed geometry (PBE, the Alexandria database).

a b c (Å): 8.4285 8.4285 4.2435
angles (deg): 90.00 90.00 90.00
Closest atoms and distances in Å follow each position.
Fractional coordinates of all 10 atoms:
Au 0.3830 0.1170 0.5000  1 Au 2.79
Au 0.1170 0.6170 0.5000  1 Au 2.79
Sr 0.1831 0.3169 0.0000  2 Cl 3.08, 6 Au 3.19-3.35
Sr 0.3169 0.8169 0.0000  2 Cl 3.08, 6 Au 3.19-3.35
Au 0.6170 0.8830 0.5000  1 Au 2.79
Cl 0.5000 0.5000 0.0000  4 Sr 3.08
Cl 0.0000 0.0000 0.0000  4 Sr 3.08
Sr 0.8169 0.6831 0.0000  2 Cl 3.08, 6 Au 3.19-3.35
Sr 0.6831 0.1831 0.0000  2 Cl 3.08, 6 Au 3.19-3.35
Au 0.8830 0.3830 0.5000  1 Au 2.79

Values from the calculation:
* raw formation energy: -1.139 eV per atom
* M_tot: 0.0 μB per formula unit
* Fermi-level density of states: 4.39 states/eV per cell

2.
# Sr2AuCl

Crystalline Sr2AuCl at its relaxed geometry (PBE, the Alexandria database).

a b c (Å): 5.3361 5.8304 3.7807
angles (deg): 90.00 90.00 90.00
Closest atoms and distances in Å follow each position.
Fractional coordinates of all 4 atoms:
Cl 0.0000 0.5000 0.5000  8 Sr 3.27-3.47
Sr 0.0000 0.0000 0.0000  4 Au 3.27, 4 Cl 3.47
Au 0.5000 0.0000 0.5000  8 Sr 3.27-3.47
Sr 0.5000 0.5000 0.0000  4 Cl 3.27, 4 Au 3.47

Values from the calculation:
* raw formation energy: -1.092 eV per atom
* M_tot: 0.0 μB per formula unit
* Fermi-level density of states: 2.55 states/eV per cell
* energy above the lowest structure with this stoichiometry: 67 kJ/mol of formula units

3.
# Sr3Au5Cl12

Crystalline Sr3Au5Cl12 at its relaxed geometry (PBE, the Alexandria database).

a b c (Å): 14.1974 14.1974 14.1974
angles (deg): 109.47 109.47 109.47
Closest atoms and distances in Å follow each position.
Fractional coordinates of all 80 atoms:
Au 0.6250 0.7500 0.8750  4 Cl 2.55
Cl 0.8701 0.5852 0.9114  2 Au 2.55-2.72
Cl 0.2849 0.8701 0.9587  2 Au 2.55-2.72
Au 0.6250 0.8750 0.2500  4 Cl 2.55
Au 0.5000 0.5000 0.5000  6 Cl 2.72
Sr 0.1250 0.8750 0.7500  8 Cl 3.08-3.11
Cl 0.0413 0.4114 0.8262  2 Au 2.55-2.72
Cl 0.1738 0.0886 0.9587  2 Au 2.55-2.72
Cl 0.2151 0.6738 0.0852  2 Au 2.55-2.72
Cl 0.4587 0.6738 0.0886  2 Au 2.55-2.72
Sr 0.6250 0.3750 0.7500  8 Cl 3.08-3.11
Cl 0.9148 0.8262 0.7849  2 Au 2.55-2.72
Cl 0.8701 0.2849 0.4587  2 Au 2.55-2.72
Cl 0.9114 0.0852 0.8701  2 Au 2.55-2.72
Au 0.1250 0.7500 0.3750  4 Cl 2.55
Au 0.7500 0.1250 0.8750  4 Cl 2.55
Au 0.3750 0.2500 0.1250  4 Cl 2.55
Sr 0.8750 0.1250 0.2500  8 Cl 3.08-3.11
Cl 0.9148 0.0886 0.6299  2 Au 2.55-2.72
Cl 0.5886 0.9587 0.6738  2 Au 2.55-2.72
Sr 0.7500 0.3750 0.1250  8 Cl 3.08-3.11
Sr 0.2500 0.1250 0.3750  8 Cl 3.08-3.11
Cl 0.8262 0.9148 0.2849  2 Au 2.55-2.72
Au 0.0000 0.0000 0.0000  6 Cl 2.72
Cl 0.1738 0.0852 0.7151  2 Au 2.55-2.72
Cl 0.3701 0.9587 0.7849  2 Au 2.55-2.72
Cl 0.1299 0.7151 0.5413  2 Au 2.55-2.72
Au 0.7500 0.6250 0.3750  4 Cl 2.55
Cl 0.6299 0.0413 0.2151  2 Au 2.55-2.72
Sr 0.7500 0.8750 0.6250  8 Cl 3.08-3.11
Au 0.3750 0.1250 0.7500  4 Cl 2.55
Cl 0.5413 0.2151 0.1299  2 Au 2.55-2.72
Cl 0.6299 0.5886 0.9148  2 Au 2.55-2.72
Cl 0.5886 0.6299 0.4148  2 Au 2.55-2.72
Cl 0.0852 0.1738 0.2151  2 Au 2.55-2.72
Cl 0.2151 0.5413 0.6299  2 Au 2.55-2.72
Sr 0.8750 0.7500 0.1250  8 Cl 3.08-3.11
Au 0.2500 0.8750 0.1250  4 Cl 2.55
Au 0.2500 0.3750 0.6250  4 Cl 2.55
Au 0.8750 0.6250 0.7500  4 Cl 2.55
Au 0.0000 0.0000 0.5000  6 Cl 2.72
Sr 0.6250 0.2500 0.3750  8 Cl 3.08-3.11
Cl 0.5852 0.7151 0.6738  2 Au 2.55-2.72
Cl 0.3701 0.4114 0.0852  2 Au 2.55-2.72
Cl 0.7849 0.4587 0.3701  2 Au 2.55-2.72
Cl 0.0886 0.9148 0.1299  2 Au 2.55-2.72
Cl 0.3262 0.5413 0.4114  2 Au 2.55-2.72
Au 0.0000 0.5000 0.0000  6 Cl 2.72
Cl 0.9114 0.8262 0.5413  2 Au 2.55-2.72
Sr 0.1250 0.2500 0.8750  8 Cl 3.08-3.11
Cl 0.1299 0.4148 0.0886  2 Au 2.55-2.72
Au 0.8750 0.2500 0.6250  4 Cl 2.55
Cl 0.0886 0.1738 0.4587  2 Au 2.55-2.72
Cl 0.4114 0.0413 0.3262  2 Au 2.55-2.72
Cl 0.2849 0.4148 0.8262  2 Au 2.55-2.72
Cl 0.6738 0.2151 0.5852  2 Au 2.55-2.72
Sr 0.3750 0.6250 0.2500  8 Cl 3.08-3.11
Cl 0.4114 0.3701 0.5852  2 Au 2.55-2.72
Cl 0.9587 0.3701 0.2849  2 Au 2.55-2.72
Cl 0.4148 0.1299 0.5886  2 Au 2.55-2.72
Cl 0.5852 0.8701 0.4114  2 Au 2.55-2.72
Cl 0.0852 0.9114 0.3701  2 Au 2.55-2.72
Cl 0.4587 0.7849 0.8701  2 Au 2.55-2.72
Cl 0.7849 0.3262 0.9148  2 Au 2.55-2.72
Cl 0.7151 0.5852 0.1738  2 Au 2.55-2.72
Cl 0.8262 0.9114 0.0413  2 Au 2.55-2.72
Au 0.0000 0.5000 0.5000  6 Cl 2.72
Au 0.5000 0.0000 0.0000  6 Cl 2.72
Cl 0.4148 0.2849 0.3262  2 Au 2.55-2.72
Cl 0.0413 0.6299 0.7151  2 Au 2.55-2.72
Cl 0.7151 0.1299 0.0413  2 Au 2.55-2.72
Cl 0.6738 0.4587 0.5886  2 Au 2.55-2.72
Cl 0.9587 0.5886 0.1738  2 Au 2.55-2.72
Au 0.1250 0.3750 0.2500  4 Cl 2.55
Au 0.5000 0.0000 0.5000  6 Cl 2.72
Sr 0.2500 0.6250 0.8750  8 Cl 3.08-3.11
Cl 0.5413 0.3262 0.9114  2 Au 2.55-2.72
Sr 0.3750 0.7500 0.6250  8 Cl 3.08-3.11
Cl 0.3262 0.7849 0.4148  2 Au 2.55-2.72
Au 0.5000 0.5000 0.0000  6 Cl 2.72

Values from the calculation:
* raw formation energy: -1.055 eV per atom
* M_tot: 0.0 μB per formula unit
* Fermi-level density of states: 56.46 states/eV per cell

4.
# Sr2AuCl

Crystalline Sr2AuCl at its relaxed geometry (PBE, the Alexandria database).

a b c (Å): 6.7667 6.7667 4.8529
angles (deg): 90.00 90.00 34.67
Closest atoms and distances in Å follow each position.
Fractional coordinates of all 4 atoms:
Sr 0.0151 0.0151 0.1249  1 Cl 2.96, 4 Au 3.18
Cl 0.2442 0.2442 0.1251  5 Sr 2.96-3.16
Sr 0.7584 0.7584 0.6251  4 Cl 3.16, 2 Au 3.53
Au 0.4823 0.4823 0.6250  6 Sr 3.18-3.53

Values from the calculation:
* raw formation energy: -1.151 eV per atom
* M_tot: 0.0 μB per formula unit
* Fermi-level density of states: 3.16 states/eV per cell
* energy above the lowest structure with this stoichiometry: 44 kJ/mol of formula units

5.
# Sr2AuCl

Crystalline Sr2AuCl at its relaxed geometry (PBE, the Alexandria database).

a b c (Å): 4.3896 4.3896 8.4123
angles (deg): 74.88 74.88 60.00
Closest atoms and distances in Å follow each position.
Fractional coordinates of all 4 atoms:
Cl 0.4933 0.4933 0.5200  6 Sr 3.24-3.51
Sr 0.0762 0.0762 0.7715  3 Au 3.09, 3 Cl 3.24
Sr 0.2610 0.2610 0.2169  3 Au 3.11
Au 0.6695 0.6695 0.9916  6 Sr 3.09-3.11

Values from the calculation:
* raw formation energy: -1.243 eV per atom
* M_tot: 0.0 μB per formula unit
* Fermi-level density of states: 0.85 states/eV per cell
* energy above the lowest structure with this stoichiometry: 8 kJ/mol of formula units

6.
# SrAu4Cl

Crystalline SrAu4Cl at its relaxed geometry (PBE, the Alexandria database).

a b c (Å): 5.7105 5.7105 5.7105
angles (deg): 60.00 60.00 60.00
Closest atoms and distances in Å follow each position.
Fractional coordinates of all 6 atoms:
Au 0.3754 0.8738 0.3754  6 Au 2.85-2.86
Sr 0.0000 0.0000 0.0000  12 Au 3.35, 4 Cl 3.50
Au 0.3754 0.3754 0.8738  6 Au 2.85-2.86
Cl 0.7500 0.7500 0.7500  12 Au 3.35, 4 Sr 3.50
Au 0.8738 0.3754 0.3754  6 Au 2.85-2.86
Au 0.3754 0.3754 0.3754  6 Au 2.85-2.86

Values from the calculation:
* raw formation energy: -0.554 eV per atom
* M_tot: 0.0 μB per formula unit
* Fermi-level density of states: 2.79 states/eV per cell

7.
# Sr2AuCl

Crystalline Sr2AuCl at its relaxed geometry (PBE, the Alexandria database).

a b c (Å): 5.6191 5.6191 5.6191
angles (deg): 60.00 60.00 60.00
Closest atoms and distances in Å follow each position.
Fractional coordinates of all 4 atoms:
Cl 0.7500 0.7500 0.7500  4 Au 3.44, 4 Sr 3.44
Sr 0.2500 0.2500 0.2500  4 Sr 3.44, 4 Au 3.44
Au 0.5000 0.5000 0.5000  4 Sr 3.44, 4 Cl 3.44
Sr 0.0000 0.0000 0.0000  4 Cl 3.44, 4 Sr 3.44

Values from the calculation:
* raw formation energy: -0.463 eV per atom
* M_tot: 0.0 μB per formula unit
* Fermi-level density of states: 0.74 states/eV per cell
* energy above the lowest structure with this stoichiometry: 309 kJ/mol of formula units

8.
# SrAuCl

Crystalline SrAuCl at its relaxed geometry (PBE, the Alexandria database).

a b c (Å): 5.4200 4.6879 9.2334
angles (deg): 90.00 90.00 125.32
Closest atoms and distances in Å follow each position.
Fractional coordinates of all 6 atoms:
Cl 0.7678 0.5356 0.7500  3 Sr 2.86-2.88
Sr 0.1410 0.2821 0.2500  3 Cl 2.86-2.88, 2 Au 3.17
Sr 0.1410 0.2821 0.7500  3 Cl 2.86-2.88, 2 Au 3.17
Cl 0.7678 0.5356 0.2500  3 Sr 2.86-2.88
Au 0.4246 0.8491 0.0000  2 Sr 3.17, 2 Cl 3.50
Au 0.4244 0.8488 0.5000  2 Sr 3.17, 2 Cl 3.50

Values from the calculation:
* raw formation energy: -1.249 eV per atom
* M_tot: 0.0 μB per formula unit
* Fermi-level density of states: 0.00 states/eV per cell
* energy above the lowest structure with this stoichiometry: 23 kJ/mol of formula units

9.
# Sr2AuCl

Crystalline Sr2AuCl at its relaxed geometry (PBE, the Alexandria database).

a b c (Å): 6.4259 4.4596 4.4854
angles (deg): 90.00 90.00 90.00
Closest atoms and distances in Å follow each position.
Fractional coordinates of all 4 atoms:
Sr 0.5000 0.3753 0.3754  4 Cl 3.16-3.17, 2 Au 3.21
Sr 0.0000 0.8750 0.8751  4 Au 3.16, 2 Cl 3.21
Cl 0.5000 0.8747 0.8744  6 Sr 3.16-3.21
Au 0.0000 0.3750 0.3751  6 Sr 3.16-3.21

Values from the calculation:
* raw formation energy: -1.217 eV per atom
* M_tot: 0.0 μB per formula unit
* Fermi-level density of states: 3.68 states/eV per cell
* energy above the lowest structure with this stoichiometry: 18 kJ/mol of formula units

10.
# SrAu2Cl8

Crystalline SrAu2Cl8 at its relaxed geometry (PBE, the Alexandria database).

a b c (Å): 7.0963 7.0963 8.0574
angles (deg): 116.13 116.13 90.00
Closest atoms and distances in Å follow each position.
Fractional coordinates of all 11 atoms:
Cl 0.7900 0.2847 0.2422  1 Au 2.33
Au 0.7500 0.2500 0.5000  4 Cl 2.33
Cl 0.0425 0.5478 0.7578  1 Au 2.33
Cl 0.7153 0.2100 0.7578  1 Au 2.33
Cl 0.4522 0.9575 0.2422  1 Au 2.33
Au 0.2500 0.7500 0.5000  4 Cl 2.33
Cl 0.9575 0.7900 0.2422  1 Au 2.33
Cl 0.2847 0.4522 0.2422  1 Au 2.33
Cl 0.2100 0.0425 0.7578  1 Au 2.33
Cl 0.5478 0.7153 0.7578  1 Au 2.33
Sr 0.5000 0.5000 0.0000  8 Cl 3.08

Values from the calculation:
* raw formation energy: -0.864 eV per atom
* M_tot: 0.0 μB per formula unit